The following is a PBE-GGA calculation of a geometry-optimized Li3ZrPa2N6 structure, from Alexandria via LeMat-Bulk.

extended XYZ file:
```
12
Lattice="2.978 -5.196 0.000 2.978 5.196 0.000 -1.939 0.000 5.054" Properties=species:S:1:pos:R:3 pbc="T T T"
Li 0.000 0.000 0.000
Li 2.978 1.537 0.000
Li 2.978 -1.537 0.000
Zr 2.009 0.000 2.527
Pa 2.009 3.461 2.527
Pa 2.009 -3.461 2.527
N 1.019 1.705 1.446
N 0.043 0.000 3.626
N 1.019 -1.705 1.446
N 2.999 1.705 3.608
N 3.975 0.000 1.428
N 2.999 -1.705 3.608
```

## Properties
- Uncorrected energy: -8.085 eV/atom
- N(E_F): 0.7520 states/eV/atom
- Energy relative to the elements, uncorrected: -1.1493 eV per atom

=====

The following is a PBE-GGA calculation of a geometry-optimized Li3PbN structure, from Alexandria via LeMat-Bulk.

extended XYZ file:
```
5
Lattice="4.138 0.000 0.000 0.000 4.138 0.000 0.000 0.000 4.138" Properties=species:S:1:pos:R:3 pbc="T T T"
Li 0.000 0.000 2.069
Li 0.000 2.069 0.000
Li 2.069 0.000 0.000
Pb 2.069 2.069 2.069
N 0.000 0.000 0.000
```

## Properties
- Uncorrected energy: -3.658 eV/atom
- N(E_F): 0.4243 states/eV/atom
- Energy relative to the elements, uncorrected: -0.1026 eV per atom

=====

The following is a PBE-GGA calculation of a geometry-optimized LiPbN3 structure, from Alexandria via LeMat-Bulk.

extended XYZ file:
```
5
Lattice="4.405 0.000 0.000 0.000 4.405 0.000 0.000 0.000 4.405" Properties=species:S:1:pos:R:3 pbc="T T T"
Li 0.000 0.000 0.000
Pb 2.203 2.203 2.203
N 0.000 2.203 2.203
N 2.203 0.000 2.203
N 2.203 2.203 0.000
```

## Properties
- Uncorrected energy: -4.245 eV/atom
- N(E_F): 0.3480 states/eV/atom
- Energy relative to the elements, uncorrected: 1.8742 eV per atom

=====

The following is a PBE-GGA calculation of a geometry-optimized LiPb2N structure, from Alexandria via LeMat-Bulk.

extended XYZ file:
```
8
Lattice="-3.516 3.516 3.466 3.516 -3.516 3.466 3.516 3.516 -3.466" Properties=species:S:1:pos:R:3 pbc="T T T"
Li 0.000 0.000 0.000
Li 0.000 3.516 1.733
Pb 1.758 -1.342 2.599
Pb 2.174 1.758 0.866
Pb 1.758 4.859 -0.866
Pb 1.342 1.758 4.332
N 3.516 0.000 1.733
N 0.000 0.000 3.466
```

## Properties
- Uncorrected energy: -4.061 eV/atom
- N(E_F): 0.1122 states/eV/atom
- Energy relative to the elements, uncorrected: 0.3528 eV per atom

=====

The following is a PBE-GGA calculation of a geometry-optimized Li4PbN structure, from Alexandria via LeMat-Bulk.

extended XYZ file:
```
6
Lattice="1.807 -3.039 0.000 1.807 3.039 0.000 0.000 0.000 8.754" Properties=species:S:1:pos:R:3 pbc="T T T"
Li 0.000 0.000 1.934
Li 0.000 0.000 6.820
Li 1.807 1.018 0.000
Li 1.807 -1.018 0.000
Pb 1.807 0.000 4.377
N 0.000 0.000 0.000
```

## Properties
- Uncorrected energy: -3.567 eV/atom
- N(E_F): 0.1754 states/eV/atom
- Energy relative to the elements, uncorrected: -0.2854 eV per atom

=====

The following is a PBE-GGA calculation of a geometry-optimized Li2Pb2N structure, from Alexandria via LeMat-Bulk.

extended XYZ file:
```
5
Lattice="-1.729 1.729 8.239 1.729 -1.729 8.239 1.729 1.729 -8.239" Properties=species:S:1:pos:R:3 pbc="T T T"
Li 1.729 0.000 4.120
Li 0.000 1.729 4.120
Pb 0.000 0.000 1.467
Pb 0.000 0.000 15.011
N 0.000 0.000 8.239
```

## Properties
- Uncorrected energy: -3.246 eV/atom
- N(E_F): 0.5047 states/eV/atom
- Energy relative to the elements, uncorrected: 0.6682 eV per atom

=====

The following is a PBE-GGA calculation of a geometry-optimized Li3PbN structure, from Alexandria via LeMat-Bulk.

extended XYZ file:
```
5
Lattice="5.389 0.000 0.000 0.000 5.389 0.000 0.000 0.000 5.389" Properties=species:S:1:pos:R:3 pbc="T T T"
Li 0.000 0.000 2.694
Li 0.000 2.694 0.000
Li 2.694 0.000 0.000
Pb 0.000 0.000 0.000
N 2.694 2.694 2.694
```

## Properties
- Uncorrected energy: -2.476 eV/atom
- N(E_F): 0.2968 states/eV/atom
- Energy relative to the elements, uncorrected: 1.0788 eV per atom

=====

The following is a PBE-GGA calculation of a geometry-optimized Li4PbN structure, from Alexandria via LeMat-Bulk.

extended XYZ file:
```
12
Lattice="7.172 -2.912 0.000 7.172 2.912 0.000 -1.549 0.000 4.455" Properties=species:S:1:pos:R:3 pbc="T T T"
Li 5.034 1.576 1.750
Li 2.556 0.000 0.904
Li 7.172 1.674 0.000
Li 7.761 1.576 2.704
Li 5.034 -1.576 1.750
Li 7.172 -1.674 0.000
Li 10.239 0.000 3.550
Li 7.761 -1.576 2.704
Pb 3.253 0.000 3.642
Pb 9.542 0.000 0.812
N -0.549 0.000 1.582
N 13.344 0.000 2.872
```

## Properties
- Uncorrected energy: -3.561 eV/atom
- N(E_F): 0.2743 states/eV/atom
- Energy relative to the elements, uncorrected: -0.2797 eV per atom

=====

The following is a PBE-GGA calculation of a geometry-optimized LiPbN3 structure, from Alexandria via LeMat-Bulk.

extended XYZ file:
```
5
Lattice="3.829 0.000 0.000 0.000 3.829 0.000 0.000 0.000 3.829" Properties=species:S:1:pos:R:3 pbc="T T T"
Li 0.000 0.000 0.000
Pb 1.915 1.915 1.915
N 0.000 0.000 1.915
N 0.000 1.915 0.000
N 1.915 0.000 0.000
```

## Properties
- Uncorrected energy: -4.240 eV/atom
- N(E_F): 0.9553 states/eV/atom
- Energy relative to the elements, uncorrected: 1.8799 eV per atom

=====

The following is a PBE-GGA calculation of a geometry-optimized Li2Pb2N structure, from Alexandria via LeMat-Bulk.

extended XYZ file:
```
10
Lattice="6.739 0.000 0.000 0.000 6.739 0.000 0.000 0.000 4.742" Properties=species:S:1:pos:R:3 pbc="T T T"
Li 1.008 2.362 0.000
Li 2.362 5.731 0.000
Li 4.377 1.008 0.000
Li 5.731 4.377 0.000
Pb 1.141 4.510 2.371
Pb 2.229 1.141 2.371
Pb 4.510 5.598 2.371
Pb 5.598 2.229 2.371
N 0.000 0.000 2.371
N 3.369 3.369 2.371
```

## Properties
- Uncorrected energy: -3.476 eV/atom
- N(E_F): 0.5693 states/eV/atom
- Energy relative to the elements, uncorrected: 0.4378 eV per atom

=====

The following is a PBE-GGA calculation of a geometry-optimized LiPm2PbN structure, from Alexandria via LeMat-Bulk.

extended XYZ file:
```
5
Lattice="4.990 0.000 0.000 0.000 4.990 0.000 0.000 0.000 4.434" Properties=species:S:1:pos:R:3 pbc="T T T"
Li 0.000 0.000 0.000
Pm 0.000 2.495 2.217
Pm 2.495 0.000 2.217
Pb 2.495 2.495 0.000
N 0.000 0.000 2.217
```

## Properties
- Uncorrected energy: -5.521 eV/atom
- N(E_F): 0.2199 states/eV/atom
- Energy relative to the elements, uncorrected: -0.8312 eV per atom

=====

The following is a PBE-GGA calculation of a geometry-optimized LiPr2PbN structure, from Alexandria via LeMat-Bulk.

extended XYZ file:
```
5
Lattice="5.091 0.000 0.000 0.000 5.091 0.000 0.000 0.000 4.459" Properties=species:S:1:pos:R:3 pbc="T T T"
Li 0.000 0.000 0.000
Pr 0.000 2.545 2.230
Pr 2.545 0.000 2.230
Pb 2.545 2.545 0.000
N 0.000 0.000 2.230
```

## Properties
- Uncorrected energy: -5.481 eV/atom
- N(E_F): 0.2194 states/eV/atom
- Energy relative to the elements, uncorrected: -0.7796 eV per atom

=====

The following is a PBE-GGA calculation of a geometry-optimized Li2RuPbN structure, from Alexandria via LeMat-Bulk.

extended XYZ file:
```
5
Lattice="4.323 0.000 0.000 0.000 4.323 0.000 0.000 0.000 3.821" Properties=species:S:1:pos:R:3 pbc="T T T"
Li 0.000 2.161 0.000
Li 2.161 0.000 0.000
Ru 0.000 0.000 1.911
Pb 2.161 2.161 1.911
N 0.000 0.000 0.000
```

## Properties
- Uncorrected energy: -5.272 eV/atom
- N(E_F): 0.2054 states/eV/atom
- Energy relative to the elements, uncorrected: -0.2447 eV per atom

=====

The following is a PBE-GGA calculation of a geometry-optimized Li2RuPbN structure, from Alexandria via LeMat-Bulk.

extended XYZ file:
```
5
Lattice="4.910 0.000 0.000 0.000 4.910 0.000 0.000 0.000 3.738" Properties=species:S:1:pos:R:3 pbc="T T T"
Li 0.000 2.455 0.000
Li 2.455 0.000 0.000
Ru 0.000 0.000 0.000
Pb 2.455 2.455 1.869
N 0.000 0.000 1.869
```

## Properties
- Uncorrected energy: -4.741 eV/atom
- N(E_F): 0.4212 states/eV/atom
- Energy relative to the elements, uncorrected: 0.2866 eV per atom

=====

The following is a PBE-GGA calculation of a geometry-optimized LiRu2PbN structure, from Alexandria via LeMat-Bulk.

extended XYZ file:
```
5
Lattice="4.081 0.000 0.000 0.000 4.081 0.000 0.000 0.000 4.202" Properties=species:S:1:pos:R:3 pbc="T T T"
Li 0.000 0.000 0.000
Ru 0.000 2.041 2.101
Ru 2.041 0.000 2.101
Pb 2.041 2.041 0.000
N 0.000 0.000 2.101
```

## Properties
- Uncorrected energy: -6.442 eV/atom
- N(E_F): 0.6889 states/eV/atom
- Energy relative to the elements, uncorrected: 0.0575 eV per atom

=====

The following is a PBE-GGA calculation of a geometry-optimized Li2PbSN structure, from Alexandria via LeMat-Bulk.

extended XYZ file:
```
5
Lattice="4.304 0.000 0.000 0.000 4.304 0.000 0.000 0.000 4.596" Properties=species:S:1:pos:R:3 pbc="T T T"
Li 0.000 2.152 0.000
Li 2.152 0.000 0.000
Pb 0.000 0.000 2.298
S 2.152 2.152 0.000
N 2.152 2.152 2.298
```

## Properties
- Uncorrected energy: -3.669 eV/atom
- N(E_F): 0.2760 states/eV/atom
- Energy relative to the elements, uncorrected: 0.3284 eV per atom

=====

The following is a PBE-GGA calculation of a geometry-optimized LiSc2PbN structure, from Alexandria via LeMat-Bulk.

extended XYZ file:
```
5
Lattice="4.441 0.000 0.000 0.000 4.441 0.000 0.000 0.000 4.325" Properties=species:S:1:pos:R:3 pbc="T T T"
Li 0.000 0.000 0.000
Sc 0.000 2.220 2.163
Sc 2.220 0.000 2.163
Pb 2.220 2.220 0.000
N 0.000 0.000 2.163
```

## Properties
- Uncorrected energy: -6.275 eV/atom
- N(E_F): 0.2436 states/eV/atom
- Energy relative to the elements, uncorrected: -0.9530 eV per atom

=====

The following is a PBE-GGA calculation of a geometry-optimized LiPbSe2N structure, from Alexandria via LeMat-Bulk.

extended XYZ file:
```
5
Lattice="5.026 0.000 0.000 0.000 5.026 0.000 0.000 0.000 4.159" Properties=species:S:1:pos:R:3 pbc="T T T"
Li 0.000 0.000 0.000
Pb 2.513 2.513 2.080
Se 0.000 2.513 0.000
Se 2.513 0.000 0.000
N 0.000 0.000 2.080
```

## Properties
- Uncorrected energy: -3.612 eV/atom
- N(E_F): 1.0085 states/eV/atom
- Energy relative to the elements, uncorrected: 0.5715 eV per atom

=====

The following is a PBE-GGA calculation of a geometry-optimized LiPbSe2N structure, from Alexandria via LeMat-Bulk.

extended XYZ file:
```
5
Lattice="5.534 0.000 0.000 0.000 5.534 0.000 0.000 0.000 4.535" Properties=species:S:1:pos:R:3 pbc="T T T"
Li 0.000 0.000 0.000
Pb 2.767 2.767 2.268
Se 0.000 2.767 2.268
Se 2.767 0.000 2.268
N 2.767 2.767 0.000
```

## Properties
- Uncorrected energy: -3.515 eV/atom
- N(E_F): 0.5483 states/eV/atom
- Energy relative to the elements, uncorrected: 0.6688 eV per atom

=====

The following is a PBE-GGA calculation of a geometry-optimized LiPbSeN2 structure, from Alexandria via LeMat-Bulk.

extended XYZ file:
```
5
Lattice="4.573 0.000 0.000 0.000 4.573 0.000 0.000 0.000 5.143" Properties=species:S:1:pos:R:3 pbc="T T T"
Li 0.000 0.000 0.000
Pb 2.286 2.286 2.572
Se 0.000 0.000 2.572
N 0.000 2.286 0.000
N 2.286 0.000 0.000
```

## Properties
- Uncorrected energy: -3.824 eV/atom
- N(E_F): 0.3094 states/eV/atom
- Energy relative to the elements, uncorrected: 1.3279 eV per atom